# K2CoCl2F2

A relaxed structure of K2CoCl2F2 (PBE+U, Alexandria via LeMat-Bulk).

```
K2CoCl2F2
1.0
3.8329 0.0000 0.0000
1.9164 6.3945 0.1798
1.9164 2.5953 6.2051
Co K Cl F
1 2 2 2
Cartesian
0.0000 0.0000 0.0000 Co
5.7493 6.0016 4.5558 K
1.9164 2.9882 1.8291 K
3.8329 5.9273 1.8731 Cl
3.8329 3.0625 4.5118 Cl
3.8329 7.1124 5.8705 F
3.8329 1.8774 0.5144 F
```

- calculated volume (Å³ per cell) = 150
- final energy (hartree per atom) = -0.15120
- space-group type = C2/m, No. 12
- total moment (μB per formula unit) = 3.000